Version 1
A relaxed Ho6ScIn crystal. Source: the Alexandria database, functional PBE-GGA.

Lattice parameters (Å, degrees): 4.8425 4.8425 9.8298 90.00 90.00 90.00
Last column: nearest neighbours and their distance in Å.
Space group P4/mmm (No. 123)
One atom of each set of equivalent atoms:
Ho 0.0000 0.0000 0.0000 [1 per cell]  4 In 3.42, 8 Ho 3.45
Ho 0.0000 0.0000 0.5000 [1 per cell]  4 Sc 3.42, 8 Ho 3.45
Ho 0.0000 0.5000 0.2494 [4 per cell]  8 Ho 3.42-3.45, 2 In 3.45, 2 Sc 3.45
Sc 0.5000 0.5000 0.5000 [1 per cell]  12 Ho 3.42-3.45
In 0.5000 0.5000 0.0000 [1 per cell]  12 Ho 3.42-3.45

---

Version 2
A relaxed Ho6ScIn crystal. Source: the Alexandria database, functional PBE-GGA.

Lattice parameters (Å, degrees): 6.4752 11.3056 6.3617 90.00 90.10 90.00
Last column: nearest neighbours and their distance in Å.
Space group C2/m (No. 12)
One atom of each set of equivalent atoms:
Ho 0.0697 0.0000 0.2484 [4 per cell]  1 Sc 3.21, 1 In 3.21, 6 Ho 3.29-3.37
Ho 0.2080 0.2860 0.2482 [8 per cell]  1 Sc 3.19, 1 In 3.20, 6 Ho 3.31-3.37
Sc 0.0000 0.5000 0.0000 [2 per cell]  2 In 3.18, 6 Ho 3.19-3.21
In 0.0000 0.5000 0.5000 [2 per cell]  2 Sc 3.18, 6 Ho 3.20-3.21

---

Tell me which of them is the least stable. Sure, it is version 2.

---

Version 1
A relaxed HoSc3In crystal. Source: the Alexandria database, functional PBE-GGA.

Lattice parameters (Å, degrees): 11.2892 5.1630 9.1925 90.00 108.92 90.00
Last column: nearest neighbours and their distance in Å.
Space group C2/m (No. 12)
One atom of each set of equivalent atoms:
Ho 0.0567 0.0000 0.3546 [4 per cell]  11 Sc 3.30-3.63, 1 Ho 3.32, 2 In 3.32
Sc 0.1407 0.5000 0.5958 [4 per cell]  1 In 3.00, 3 Sc 3.06-3.09, 3 Ho 3.30-3.33
Sc 0.1585 0.0000 0.0366 [4 per cell]  3 In 3.01-3.04, 2 Sc 3.27
Sc 0.2225 0.5000 0.2675 [4 per cell]  1 In 3.01, 4 Sc 3.06-3.27
In 0.0577 0.5000 0.8748 [4 per cell]  1 In 2.99, 5 Sc 3.00-3.04, 2 Ho 3.32

---

Version 2
A relaxed HoSc3In crystal. Source: the Alexandria database, functional PBE-GGA.

Lattice parameters (Å, degrees): 5.0751 7.7022 6.6225 90.00 90.00 90.00
Last column: nearest neighbours and their distance in Å.
Space group Pmmn (No. 59, origin choice 2)
One atom of each set of equivalent atoms:
Ho 0.2500 0.2500 0.2105 [2 per cell]  2 Sc 3.10, 2 In 3.27
Sc 0.2500 0.0598 0.7349 [4 per cell]  3 In 2.93-3.25, 4 Sc 2.93-3.23
Sc 0.2500 0.7500 0.0587 [2 per cell]  1 In 2.78, 2 Ho 3.10
In 0.2500 0.7500 0.4787 [2 per cell]  3 Sc 2.78-2.93

---

Tell me which of them is the least stable. Sure, it is version 2.